[1]
A relaxed Er3Zn3CuNi2 crystal, computed with PBE-GGA.

Energy of formation = -0.447 eV per atom
Final energy = -36.362 eV/cell
Magnetic moment = 0.0 μB per cell

Lattice parameters (Å, degrees): 7.0492 7.0492 3.7032 90.00 90.00 120.00
Last column: nearest neighbours and their distance in Å.
Space group P-62m (No. 189)
Unique sites:
Er (0.0000, 0.4141, 0.0000) x3  4 Ni 2.82, 1 Cu 2.92, 6 Zn 3.00-3.15
Zn (0.0000, 0.7490, 0.5000) x3  2 Cu 2.56, 2 Ni 2.69
Cu (0.0000, 0.0000, 0.0000) x1  6 Zn 2.56
Ni (0.3333, 0.6667, 0.5000) x2  3 Zn 2.69, 6 Er 2.82



[2]
A relaxed DyNiBi crystal, computed with PBE-GGA.

Final energy = -65.204 eV/cell
Magnetic moment = 0.0 μB per cell

Lattice parameters (Å, degrees): 6.4646 6.4646 6.4646 90.00 90.00 90.00
Last column: nearest neighbours and their distance in Å.
Space group F-43m (No. 216)
Unique sites:
Dy (0.0000, 0.0000, 0.0000) x4  4 Ni 2.80
Ni (0.2500, 0.2500, 0.2500) x4  4 Dy 2.80, 4 Bi 2.80
Bi (0.0000, 0.0000, 0.5000) x4  4 Ni 2.80



Q: What is the formula in the first record?
A: Er3Zn3CuNi2



Q: Which formula does entry 2 have?
A: DyNiBi



Q: What is the final energy in the second record?
A: -65.204 eV/cell